1.
Below is an optimized crystal structure of MoPt3C, with properties calculated at the PBE level.

a = 4.819 Å, b = 4.819 Å, c = 4.819 Å
α = 90.00°, β = 90.00°, γ = 90.00°
Element x y z (fractional)
Pt (0.000, 0.000, 0.500)
C (0.500, 0.500, 0.500)
Pt (0.500, 0.000, 0.000)
Mo (0.000, 0.000, 0.000)
Pt (0.000, 0.500, 0.000)

## Properties
- final energy (eV/atom) = -5.1405
- space-group type = Pm-3m, No. 221
- magnetic moment (μB/f.u.) = 1.00
- crystal system = cubic
- energy above the most stable polymorph in this dataset (meV per atom) = 1816
- calculated formation energy (meV per atom) = 2495

***

2.
Below is an optimized crystal structure of SrBe2Pb, with properties calculated at the PBE level.

a = 4.275 Å, b = 4.275 Å, c = 6.229 Å
α = 70.44°, β = 70.44°, γ = 59.15°
Element x y z (fractional)
Be (0.963, 0.963, 0.124)
Pb (0.250, 0.250, 0.250)
Sr (0.750, 0.750, 0.750)
Be (0.537, 0.537, 0.376)

## Properties
- final energy (eV/atom) = -2.8772
- space-group type = C2/m, No. 12
- magnetic moment (μB/f.u.) = 0.00
- crystal system = monoclinic
- calculated formation energy (meV per atom) = 333

***

3.
Below is an optimized crystal structure of NaAlTlPb, with properties calculated at the PBE level.

a = 5.290 Å, b = 5.290 Å, c = 5.290 Å
α = 60.00°, β = 60.00°, γ = 60.00°
Element x y z (fractional)
Pb (0.500, 0.500, 0.500)
Al (0.250, 0.250, 0.250)
Tl (0.000, 0.000, 0.000)
Na (0.750, 0.750, 0.750)

## Properties
- final energy (eV/atom) = -2.7342
- space-group type = F-43m, No. 216
- magnetic moment (μB/f.u.) = 0.00
- crystal system = cubic
- calculated formation energy (meV per atom) = 50

***

4.
Below is an optimized crystal structure of Nd2DyTl2Ag2, with properties calculated at the PBE level.

a = 4.908 Å, b = 4.908 Å, c = 9.623 Å
α = 75.23°, β = 75.23°, γ = 60.00°
Element x y z (fractional)
Nd (0.876, 0.876, 0.373)
Tl (0.263, 0.263, 0.211)
Dy (0.000, 0.000, 0.000)
Ag (0.389, 0.389, 0.833)
Ag (0.611, 0.611, 0.167)
Tl (0.737, 0.737, 0.789)
Nd (0.124, 0.124, 0.627)

## Properties
- final energy (eV/atom) = -3.6998
- space-group type = R-3m, No. 166
- magnetic moment (μB/f.u.) = 0.00
- crystal system = trigonal
- calculated formation energy (meV per atom) = -189

***

5.
Below is an optimized crystal structure of CdSi, with properties calculated at the PBE level.

a = 4.617 Å, b = 4.617 Å, c = 5.550 Å
α = 90.00°, β = 90.00°, γ = 120.00°
Element x y z (fractional)
Si (0.333, 0.667, 0.250)
Cd (0.333, 0.667, 0.750)
Cd (0.667, 0.333, 0.250)
Si (0.667, 0.333, 0.750)

## Properties
- final energy (eV/atom) = -2.5489
- space-group type = P6_3/mmc, No. 194
- magnetic moment (μB/f.u.) = 0.00
- crystal system = hexagonal

***

6.
Below is an optimized crystal structure of MgP, with properties calculated at the PBE level.

a = 2.985 Å, b = 2.985 Å, c = 10.009 Å
α = 90.00°, β = 90.00°, γ = 120.00°
Element x y z (fractional)
P (0.000, 0.000, 0.461)
Mg (0.667, 0.333, 0.258)
P (0.667, 0.333, 0.789)
Mg (0.000, 0.000, 0.992)

## Properties
- final energy (eV/atom) = -3.2006
- space-group type = P-3m1, No. 164
- magnetic moment (μB/f.u.) = 0.00
- crystal system = trigonal
- energy above the most stable polymorph in this dataset (meV per atom) = 821
- calculated formation energy (meV per atom) = 302

***

7.
Below is an optimized crystal structure of Sr6Sn2Bi, with properties calculated at the PBE level.

a = 7.620 Å, b = 9.123 Å, c = 11.355 Å
α = 90.00°, β = 89.60°, γ = 90.00°
Element x y z (fractional)
Bi (0.000, 0.000, 0.500)
Sr (0.164, 0.324, 0.439)
Sr (0.861, 0.941, 0.238)
Sn (0.961, 0.397, 0.741)
Sr (0.653, 0.178, 0.575)
Sn (0.461, 0.103, 0.241)
Sr (0.153, 0.322, 0.075)
Sr (0.347, 0.822, 0.425)
Sr (0.639, 0.441, 0.262)
Sr (0.664, 0.176, 0.939)
Sr (0.139, 0.059, 0.762)
Sn (0.039, 0.603, 0.259)
Sr (0.361, 0.559, 0.738)
Sn (0.539, 0.897, 0.759)
Sr (0.836, 0.676, 0.561)
Sr (0.847, 0.678, 0.925)
Bi (0.500, 0.500, 0.000)
Sr (0.336, 0.824, 0.061)

## Properties
- final energy (eV/atom) = -2.9540
- space-group type = P2_1/c, No. 14
- magnetic moment (μB/f.u.) = 0.92
- crystal system = monoclinic
- calculated formation energy (meV per atom) = -512

***

8.
Below is an optimized crystal structure of Rb2Eu, with properties calculated at the PBE level.

a = 4.356 Å, b = 4.356 Å, c = 11.562 Å
α = 100.86°, β = 100.86°, γ = 90.00°
Element x y z (fractional)
Eu (0.000, 0.000, 0.000)
Rb (0.344, 0.344, 0.687)
Rb (0.656, 0.656, 0.313)

## Properties
- final energy (eV/atom) = -3.8699
- space-group type = I4/mmm, No. 139
- magnetic moment (μB/f.u.) = 7.71
- crystal system = tetragonal
- energy above the most stable polymorph in this dataset (meV per atom) = 0
- calculated formation energy (meV per atom) = 200